No. 1
Here is crystalline Mn4Ru3 at its relaxed geometry from the Alexandria database. Energies are from PBE.

Properties
The total magnetization comes out at 8.02 μB per cell. The energy of formation from the pure elements comes out at 147 meV/atom. The space-group type is I4/mmm. The energy above the most stable polymorph in this dataset is 0.0 meV/atom.

Cell and atoms, written as POSCAR:
```
Mn4Ru3
1.0
-4.2349 6.4331 8.9937
-7.4538 4.3622 8.1005
6.3959 -6.7992 -7.2848
Mn Ru
4 3
Cartesian
-10.0516 9.2833 14.6999
-6.6750 6.1648 9.7619
-5.0137 4.6305 7.3323
-1.6371 1.5120 2.3942
0.0000 0.0000 0.0000
-8.2611 7.6297 12.0814
-3.4276 3.1656 5.0127
```



No. 2
Here is crystalline MnRu3 at its relaxed geometry from the Alexandria database. Energies are from PBE.

Properties
The total magnetization comes out at 1.70 μB per cell. The energy of formation from the pure elements comes out at 91 meV/atom. The space-group type is Cmmm.

Cell and atoms, written as POSCAR:
```
MnRu3
1.0
4.6258 0.0083 0.0000
-1.5385 4.3625 0.0000
0.0000 0.0000 2.6830
Mn Ru
1 3
Cartesian
0.0000 0.0000 0.0000
-0.7693 2.1812 1.3415
2.3129 0.0042 1.3415
1.5437 2.1854 0.0000
```



No. 3
Here is crystalline MnRu at its relaxed geometry from the Alexandria database. Energies are from PBE.

Properties
The total magnetization comes out at 2.08 μB per cell. The energy of formation from the pure elements comes out at 902 meV/atom. The space-group type is Fm-3m.

Cell and atoms, written as POSCAR:
```
MnRu
1.0
-0.6040 -3.1711 -1.2418
1.2447 -0.9110 -3.0957
3.1851 0.8793 1.0219
Mn Ru
1 1
Cartesian
0.0000 0.0000 0.0000
2.2149 -0.0159 -1.0369
```



No. 4
Here is crystalline MnRu3 at its relaxed geometry from the Alexandria database. Energies are from PBE.

Properties
The total magnetization comes out at 5.74 μB per cell. The energy of formation from the pure elements comes out at 365 meV/atom. The space-group type is Fm-3m.

Cell and atoms, written as POSCAR:
```
MnRu3
1.0
4.3169 0.0000 0.0000
2.1584 3.7385 0.0000
2.1584 1.2462 3.5247
Mn Ru
1 3
Cartesian
0.0000 0.0000 0.0000
6.4753 3.7385 2.6435
4.3169 2.4924 1.7624
2.1584 1.2462 0.8812
```



No. 5
Here is crystalline Mn2Ru at its relaxed geometry from the Alexandria database. Energies are from PBE.

Properties
The total magnetization comes out at 1.32 μB per cell. The energy of formation from the pure elements comes out at 124 meV/atom. The space-group type is Immm.

Cell and atoms, written as POSCAR:
```
Mn2Ru
1.0
-2.0106 -3.5684 1.7459
-4.2654 0.2181 1.2584
2.8906 0.4794 -3.3524
Mn Ru
2 1
Cartesian
-4.2039 -2.2441 2.0123
-2.0721 -1.1062 0.9919
0.0000 0.0000 0.0000
```



No. 6
Here is crystalline MnRu3 at its relaxed geometry from the Alexandria database. Energies are from PBE.

Properties
The total magnetization comes out at 1.28 μB per cell. The energy of formation from the pure elements comes out at 140 meV/atom. The space-group type is R-3m.

Cell and atoms, written as POSCAR:
```
MnRu3
1.0
-0.4736 -1.2358 2.3321
5.5299 -5.8139 -3.4994
2.1471 1.5841 -0.2662
Mn Ru
1 3
Cartesian
0.0000 0.0000 0.0000
5.6777 -3.5369 -2.2629
3.6017 -2.7328 -0.7167
1.5258 -1.9287 0.8294
```



No. 7
Here is crystalline Mn2Ru at its relaxed geometry from the Alexandria database. Energies are from PBE.

Properties
The total magnetization comes out at 0.23 μB per cell. The energy of formation from the pure elements comes out at 50 meV/atom. The space-group type is Cm.

Cell and atoms, written as POSCAR:
```
Mn2Ru
1.0
-2.3271 0.9199 0.7747
-0.9832 -4.0639 -2.5567
-0.2875 -4.3424 4.2929
Mn Ru
4 2
Cartesian
-3.5953 -7.4652 2.4933
-1.8966 -5.9905 1.4163
-2.0938 -3.6669 2.4935
-1.5089 -3.8190 0.0022
-0.3298 -2.0865 1.4869
-2.1326 -1.3561 -0.3671
```



No. 8
Here is crystalline MnRu at its relaxed geometry from the Alexandria database. Energies are from PBE.

Properties
The total magnetization comes out at 0.00 μB per cell. The energy of formation from the pure elements comes out at 34 meV/atom. The space-group type is C2/m.

Cell and atoms, written as POSCAR:
```
MnRu
1.0
-1.7611 -2.9034 -2.9567
-1.0501 -1.3949 1.9952
-4.8951 0.1064 -0.7404
Ru Mn
2 2
Cartesian
-1.4226 -2.1054 -0.4591
-3.7205 -2.0329 -1.6178
-4.8309 0.0776 -0.7266
-3.4461 -1.2062 0.8661
```



No. 9
Here is crystalline MnRu at its relaxed geometry from the Alexandria database. Energies are from PBE.

Properties
The total magnetization comes out at 0.00 μB per cell. The energy of formation from the pure elements comes out at 73 meV/atom. The space-group type is P-3m1.

Cell and atoms, written as POSCAR:
```
MnRu
1.0
-0.6476 0.0024 2.5604
1.7160 -1.7811 -0.9264
6.2327 5.1874 1.5716
Ru Mn
2 2
Cartesian
3.0477 2.5365 0.7685
5.6713 2.7611 1.4319
0.0479 0.0399 0.0121
2.4384 0.0704 0.6167
```



No. 10
Here is crystalline MnRu at its relaxed geometry from the Alexandria database. Energies are from PBE.

Properties
The total magnetization comes out at 0.00 μB per cell. The energy of formation from the pure elements comes out at 302 meV/atom. The space-group type is R-3m.

Cell and atoms, written as POSCAR:
```
MnRu
1.0
4.5294 0.0014 0.0010
2.8177 3.5463 0.0010
2.8177 1.3606 3.2750
Mn Ru
2 2
Cartesian
3.3716 1.6281 1.0869
6.7932 3.2803 2.1900
1.1366 0.5488 0.3664
9.0282 4.3595 2.9105
```



No. 11
Here is crystalline MnRu at its relaxed geometry from the Alexandria database. Energies are from PBE.

Properties
The total magnetization comes out at 1.12 μB per cell. The energy of formation from the pure elements comes out at 111 meV/atom. The space-group type is C222_1.

Cell and atoms, written as POSCAR:
```
MnRu
1.0
4.7341 0.0000 0.0000
0.0000 5.0788 0.0000
0.0000 0.0000 8.7557
Mn Ru
8 8
Cartesian
2.3660 2.5396 6.2264
4.7331 5.0786 2.5294
2.3681 0.0002 6.9072
0.0010 2.5392 1.8485
2.1177 3.8126 2.1894
4.4848 3.8056 6.5664
2.6164 1.2732 2.1885
0.2493 1.2662 6.5673
3.5792 3.1797 4.0357
1.2121 4.4385 4.7201
1.1549 0.6403 0.3422
3.5220 1.8991 8.4136
1.1537 1.8992 4.0362
3.5208 0.6403 4.7195
3.5804 4.4386 0.3416
1.2133 3.1797 8.4141
```



No. 12
Here is crystalline Mn6Ru5 at its relaxed geometry from the Alexandria database. Energies are from PBE.

Properties
The total magnetization comes out at 4.53 μB per cell. The energy of formation from the pure elements comes out at 147 meV/atom. The space-group type is Immm.

Cell and atoms, written as POSCAR:
```
Mn6Ru5
1.0
3.9387 0.0042 -1.2191
-0.6909 5.5187 -2.2133
0.0466 -0.3845 7.1216
Mn Ru
6 5
Cartesian
1.4333 4.2834 -2.3266
1.8146 1.2396 -1.1059
3.3355 0.1425 3.8044
2.9520 3.2039 2.5766
-0.0411 4.9960 -0.1153
0.3424 1.9346 1.1125
-0.3455 2.7594 -1.1067
2.1611 3.5259 0.0221
1.1332 1.6126 3.6670
0.7037 4.2522 2.2881
2.5907 0.8863 1.4010
```



No. 13
Here is crystalline Mn2Ru at its relaxed geometry from the Alexandria database. Energies are from PBE.

Properties
The total magnetization comes out at 6.01 μB per cell. The energy of formation from the pure elements comes out at 720 meV/atom. The space-group type is Fm-3m.

Cell and atoms, written as POSCAR:
```
Mn2Ru
1.0
4.0998 0.0000 0.0000
2.0499 3.5505 0.0000
2.0499 1.1835 3.3475
Mn Ru
2 1
Cartesian
6.1497 3.5505 2.5106
2.0499 1.1835 0.8369
0.0000 0.0000 0.0000
```



No. 14
Here is crystalline Mn3Ru at its relaxed geometry from the Alexandria database. Energies are from PBE.

Properties
The total magnetization comes out at 0.20 μB per cell. The energy of formation from the pure elements comes out at 54 meV/atom. The space-group type is Pmm2.

Cell and atoms, written as POSCAR:
```
Mn3Ru
1.0
-1.6027 -1.1216 -1.7132
-2.2246 -1.5095 3.0692
-2.5112 3.6366 -0.0315
Ru Mn
1 3
Cartesian
-1.9603 0.4734 1.5240
-2.4708 3.5781 -0.0310
-2.0735 1.2815 -0.8726
-4.0192 1.7336 0.6515
```



No. 15
Here is crystalline Mn2Ru at its relaxed geometry from the Alexandria database. Energies are from PBE.

Properties
The total magnetization comes out at 0.57 μB per cell. The energy of formation from the pure elements comes out at 44 meV/atom. The space-group type is C2/m.

Cell and atoms, written as POSCAR:
```
Mn2Ru
1.0
2.6167 0.0000 0.0000
-1.3084 4.6629 0.0258
0.0000 1.5619 5.9385
Mn Ru
4 2
Cartesian
1.3084 6.1574 5.8535
0.0000 4.7684 4.2961
1.3084 2.5819 3.9804
0.0000 1.1929 2.4231
0.0000 3.6947 2.0051
1.3084 2.0937 0.3330
```



No. 16
Here is crystalline MnRu3 at its relaxed geometry from the Alexandria database. Energies are from PBE.

Properties
The total magnetization comes out at 5.52 μB per cell. The energy of formation from the pure elements comes out at 51 meV/atom. The space-group type is P6_3/mmc.

Cell and atoms, written as POSCAR:
```
MnRu3
1.0
5.3702 0.0000 0.0000
-2.6851 4.6507 0.0000
0.0000 0.0000 12.9569
Mn Ru
6 18
Cartesian
0.0000 0.0000 0.0000
0.0000 0.0000 6.4784
0.0000 3.1005 4.3083
0.0000 3.1005 8.6486
2.6851 1.5502 2.1702
2.6851 1.5502 10.7867
3.9982 2.3084 0.0000
-1.3131 2.3424 6.4784
0.0000 1.5568 2.1210
0.0000 1.5568 10.8358
-1.3369 3.8723 2.1210
-1.3369 3.8723 10.8358
1.3482 0.7784 4.3574
1.3482 0.7784 8.5995
2.6851 0.0340 0.0000
0.0000 4.6167 6.4784
1.3720 2.3084 0.0000
1.3131 2.3424 6.4784
1.3369 3.8723 2.1210
1.3369 3.8723 10.8358
4.0220 0.7784 4.3574
4.0220 0.7784 8.5995
2.6851 3.0939 4.3574
2.6851 3.0939 8.5995
```



No. 17
Here is crystalline MnRu3 at its relaxed geometry from the Alexandria database. Energies are from PBE.

Properties
The total magnetization comes out at 1.81 μB per cell. The energy of formation from the pure elements comes out at 92 meV/atom. The space-group type is C2/m.

Cell and atoms, written as POSCAR:
```
MnRu3
1.0
-0.5744 0.9366 2.4549
-4.5977 -0.2816 0.5050
1.2287 -4.0534 1.8339
Mn Ru
1 3
Cartesian
0.0000 0.0000 0.0000
-2.1364 -0.9149 1.3225
0.3272 -1.5584 2.1444
-1.8069 -2.4835 3.4713
```



No. 18
Here is crystalline MnRu3 at its relaxed geometry from the Alexandria database. Energies are from PBE.

Properties
The total magnetization comes out at 3.68 μB per cell. The energy of formation from the pure elements comes out at 48 meV/atom. The space-group type is P6_3/mmc.

Cell and atoms, written as POSCAR:
```
MnRu3
1.0
-3.2001 -1.7865 -3.9328
0.5156 -5.0372 -1.8054
-5.6987 -2.6819 5.8554
Mn Ru
4 12
Cartesian
0.0000 0.0000 0.0000
-2.8494 -1.3410 2.9277
-3.2144 -5.2196 -2.3616
-5.1689 -4.2860 2.4788
-1.3423 -3.4119 -2.8691
-4.1916 -4.7528 0.0586
-6.7835 -5.1508 0.5113
-4.8874 -6.8097 1.5969
-1.8629 -1.7843 0.5272
-1.6001 -0.8932 -1.9664
-4.4494 -2.2342 0.9613
0.2578 -2.5186 -0.9027
-2.5916 -3.8596 2.0250
-6.5204 -7.7213 -0.4100
-3.4959 -2.6960 -1.4797
-1.5998 -4.3548 -0.3941
```



No. 19
Here is crystalline Mn7Ru6 at its relaxed geometry from the Alexandria database. Energies are from PBE.

Properties
The total magnetization comes out at 0.00 μB per cell. The energy of formation from the pure elements comes out at 23 meV/atom. The space-group type is R-3m.

Cell and atoms, written as POSCAR:
```
Mn7Ru6
1.0
8.9698 0.0013 0.0008
7.7699 4.4819 0.0008
7.7699 2.0809 3.9695
Mn Ru
7 6
Cartesian
14.5347 2.6768 1.6194
13.9271 3.7299 3.6292
13.9271 4.9458 1.6194
9.9749 3.8873 2.3517
10.5825 1.6183 2.3517
10.5825 2.8342 0.3419
12.2548 3.2820 1.9856
23.3348 6.2495 3.7808
1.1748 0.3146 0.1904
20.7995 5.5705 3.3700
3.7101 0.9936 0.6011
16.2372 4.3486 2.6308
8.2724 2.2155 1.3403
```



No. 20
Here is crystalline MnRu at its relaxed geometry from the Alexandria database. Energies are from PBE.

Properties
The total magnetization comes out at 1.22 μB per cell. The energy of formation from the pure elements comes out at 129 meV/atom. The space-group type is P4/nmm.

Cell and atoms, written as POSCAR:
```
MnRu
1.0
-2.3363 1.2062 0.0140
-0.0818 -0.1888 2.6213
3.3105 6.4057 0.5647
Mn Ru
2 2
Cartesian
1.4355 4.2017 1.0068
-0.5431 3.2213 2.1932
-0.1384 1.1563 0.7383
1.0308 6.2668 2.4617
```